GGA-PBE CsGa3Bi3, relaxed; electronic total energy = -3.164 eV per atom; formation enthalpy at 0 K = -0.081 eV/atom; polymorph energy (0 for the lowest one) = 0.0058 eV per atom; DOS at the Fermi energy = 0.49 states/eV/atom
1.0
4.073 2.352 9.553
-4.073 2.352 9.553
0.000 -4.704 9.553
Cs Ga Bi
2 6 6
Direct
0.168 0.168 0.168 Cs
0.832 0.832 0.832 Cs
0.021 0.712 0.372 Ga
0.288 0.628 0.979 Ga
0.372 0.021 0.712 Ga
0.628 0.979 0.288 Ga
0.712 0.372 0.021 Ga
0.979 0.288 0.628 Ga
0.080 0.398 0.723 Bi
0.277 0.920 0.602 Bi
0.398 0.723 0.080 Bi
0.602 0.277 0.920 Bi
0.723 0.080 0.398 Bi
0.920 0.602 0.277 Bi

GGA-PBE La3Ru, relaxed; electronic total energy = -5.906 eV per atom; formation enthalpy at 0 K = 0.108 eV/atom; DOS at the Fermi energy = 1.11 states/eV/atom
1.0
6.646 0.000 0.000
-3.323 5.755 0.000
0.000 0.000 5.675
La Ru
6 2
Direct
0.179 0.358 0.250 La
0.179 0.821 0.250 La
0.358 0.179 0.750 La
0.642 0.821 0.250 La
0.821 0.179 0.750 La
0.821 0.642 0.750 La
0.333 0.667 0.750 Ru
0.667 0.333 0.250 Ru

GGA-PBE HfTi2Sn4, relaxed; electronic total energy = -5.630 eV per atom; formation enthalpy at 0 K = 0.335 eV/atom; DOS at the Fermi energy = 0.93 states/eV/atom
1.0
5.390 0.000 0.000
0.000 5.390 0.000
0.000 0.000 13.719
Hf Ti Sn
2 4 8
Direct
0.000 0.000 0.000 Hf
0.500 0.500 0.500 Hf
0.000 0.000 0.411 Ti
0.000 0.000 0.589 Ti
0.500 0.500 0.089 Ti
0.500 0.500 0.911 Ti
0.000 0.000 0.206 Sn
0.000 0.000 0.794 Sn
0.000 0.500 0.000 Sn
0.000 0.500 0.500 Sn
0.500 0.000 0.000 Sn
0.500 0.000 0.500 Sn
0.500 0.500 0.294 Sn
0.500 0.500 0.706 Sn

GGA-PBE Tb2Dy3Tl, relaxed; electronic total energy = -4.346 eV per atom; formation enthalpy at 0 K = -0.107 eV/atom; polymorph energy (0 for the lowest one) = 0.0000 eV per atom; DOS at the Fermi energy = 1.19 states/eV/atom
1.0
4.865 0.000 0.000
0.000 15.158 0.000
0.000 0.000 4.872
Tb Dy Tl
4 6 2
Direct
0.000 0.162 0.000 Tb
0.000 0.838 0.000 Tb
0.500 0.338 0.000 Tb
0.500 0.662 0.000 Tb
0.000 0.000 0.500 Dy
0.000 0.331 0.500 Dy
0.000 0.669 0.500 Dy
0.500 0.169 0.500 Dy
0.500 0.500 0.500 Dy
0.500 0.831 0.500 Dy
0.000 0.500 0.000 Tl
0.500 0.000 0.000 Tl

GGA-PBE Zr2VSe, relaxed; electronic total energy = -7.311 eV per atom; DOS at the Fermi energy = 1.05 states/eV/atom; ΔE_f (raw) = 114 meV/atom
1.0
3.322 0.000 0.000
-1.661 2.877 0.000
0.000 0.000 26.639
Zr V Se
6 3 3
Direct
0.000 0.000 0.093 Zr
0.000 0.000 0.907 Zr
0.333 0.667 0.573 Zr
0.333 0.667 0.760 Zr
0.667 0.333 0.240 Zr
0.667 0.333 0.427 Zr
0.000 0.000 0.000 V
0.333 0.667 0.667 V
0.667 0.333 0.333 V
0.000 0.000 0.500 Se
0.333 0.667 0.167 Se
0.667 0.333 0.833 Se

no.,total magnetization (μB per cell)
1,0.00
2,0.00
3,1.71
4,0.00
5,4.61